[1]
## Pb2WBr (PBE-GGA)

Data for an optimized crystal structure of Pb2WBr.

a = 9.8715 Å, b = 9.8715 Å, c = 9.8715 Å
α = 19.86°, β = 19.86°, γ = 19.86°
Fractional coordinates of all 4 atoms:
Pb (0.2451, 0.2451, 0.2451)
Pb (0.7549, 0.7549, 0.7549)
W (0.5000, 0.5000, 0.5000)
Br (0.0000, 0.0000, 0.0000)

Uncorrected formation energy = 0.6662 eV per atom
Energy = -4.8444 eV/atom
Symmetry = R-3m (166)
Energy relative to the lowest polymorph listed for this composition = 187 meV per atom

---

[2]
## CoMo2HPt (PBE-GGA)

Data for an optimized crystal structure of CoMo2HPt.

a = 3.8996 Å, b = 3.8996 Å, c = 3.9255 Å
α = 90.00°, β = 90.00°, γ = 90.00°
Fractional coordinates of all 5 atoms:
Co (0.0000, 0.0000, 0.0000)
Mo (0.0000, 0.5000, 0.5000)
Mo (0.5000, 0.0000, 0.5000)
H (0.0000, 0.0000, 0.5000)
Pt (0.5000, 0.5000, 0.0000)

Energy = -7.6910 eV/atom
Symmetry = P4/mmm (123)

---

[3]
## Li2PrPd3 (PBE-GGA)

Data for an optimized crystal structure of Li2PrPd3.

a = 6.5495 Å, b = 6.5495 Å, c = 5.2323 Å
α = 90.00°, β = 90.00°, γ = 83.86°
Fractional coordinates of all 12 atoms:
Li (0.2247, 0.2247, 0.0000)
Li (0.2247, 0.2247, 0.5000)
Li (0.7753, 0.7753, 0.0000)
Li (0.7753, 0.7753, 0.5000)
Pr (0.2907, 0.7093, 0.7500)
Pr (0.7093, 0.2907, 0.2500)
Pd (0.0430, 0.9570, 0.2500)
Pd (0.0819, 0.5429, 0.2500)
Pd (0.4571, 0.9181, 0.2500)
Pd (0.5429, 0.0819, 0.7500)
Pd (0.9181, 0.4571, 0.7500)
Pd (0.9570, 0.0430, 0.7500)

Formation energy = -470 meV/atom
Energy = -4.5013 eV/atom
Symmetry = Cmcm (63)

---

[4]
## Nd6BiSb2As3 (PBE-GGA)

Data for an optimized crystal structure of Nd6BiSb2As3.

a = 9.8880 Å, b = 9.8880 Å, c = 8.8572 Å
α = 103.65°, β = 103.65°, γ = 25.68°
Fractional coordinates of all 12 atoms:
Nd (0.0038, 0.0038, 0.2369)
Nd (0.3281, 0.3281, 0.4248)
Nd (0.3364, 0.3364, 0.9084)
Nd (0.6636, 0.6636, 0.0916)
Nd (0.6719, 0.6719, 0.5752)
Nd (0.9962, 0.9962, 0.7631)
Bi (0.5000, 0.5000, 0.5000)
Sb (0.1664, 0.1664, 0.8328)
Sb (0.8336, 0.8336, 0.1672)
As (0.1665, 0.1665, 0.3327)
As (0.5000, 0.5000, 0.0000)
As (0.8335, 0.8335, 0.6673)

Uncorrected formation energy = -1.2938 eV per atom
Energy = -5.8505 eV/atom
Symmetry = C2/m (12)

---

[5]
## KBi6S8 (PBE-GGA)

Data for an optimized crystal structure of KBi6S8.

a = 8.2299 Å, b = 8.2299 Å, c = 8.2299 Å
α = 95.16°, β = 95.16°, γ = 95.16°
Fractional coordinates of all 15 atoms:
K (0.0000, 0.0000, 0.0000)
Bi (0.2046, 0.3970, 0.5519)
Bi (0.3970, 0.5519, 0.2046)
Bi (0.4481, 0.7954, 0.6030)
Bi (0.5519, 0.2046, 0.3970)
Bi (0.6030, 0.4481, 0.7954)
Bi (0.7954, 0.6030, 0.4481)
S (0.1284, 0.6699, 0.4161)
S (0.2454, 0.2454, 0.2454)
S (0.3301, 0.5839, 0.8716)
S (0.4161, 0.1284, 0.6699)
S (0.5839, 0.8716, 0.3301)
S (0.6699, 0.4161, 0.1284)
S (0.7546, 0.7546, 0.7546)
S (0.8716, 0.3301, 0.5839)

Uncorrected formation energy = -0.2864 eV per atom
Energy = -4.1132 eV/atom
Symmetry = R-3 (148)

---

[6]
## BaSi2P (PBE-GGA)

Data for an optimized crystal structure of BaSi2P.

a = 5.4244 Å, b = 5.4244 Å, c = 5.4244 Å
α = 129.92°, β = 129.92°, γ = 73.54°
Fractional coordinates of all 4 atoms:
Ba (0.0000, 0.0000, 0.0000)
Si (0.5000, 0.5000, 0.0000)
Si (0.7500, 0.2500, 0.5000)
P (0.2500, 0.7500, 0.5000)

Uncorrected formation energy = 0.3556 eV per atom
Energy = -4.1891 eV/atom
Symmetry = I-4m2 (119)

---

[7]
## BeTe2 (PBE-GGA)

Data for an optimized crystal structure of BeTe2.

a = 6.3614 Å, b = 6.3614 Å, c = 6.3614 Å
α = 148.22°, β = 148.22°, γ = 45.56°
Fractional coordinates of all 3 atoms:
Be (0.0000, 0.0000, 0.0000)
Te (0.3754, 0.3754, 0.0000)
Te (0.6246, 0.6246, 0.0000)

Uncorrected formation energy = 0.4704 eV per atom
Energy = -2.8661 eV/atom
Symmetry = I4/mmm (139)
Energy relative to the lowest polymorph listed for this composition = 615 meV per atom

---

[8]
## Ba3NaPa2O9 (PBE-GGA)

Data for an optimized crystal structure of Ba3NaPa2O9.

a = 6.2629 Å, b = 6.2629 Å, c = 7.7028 Å
α = 90.00°, β = 90.00°, γ = 120.00°
Fractional coordinates of all 15 atoms:
Ba (0.0000, 0.0000, 0.0000)
Ba (0.3333, 0.6667, 0.6406)
Ba (0.6667, 0.3333, 0.3594)
Na (0.0000, 0.0000, 0.5000)
Pa (0.3333, 0.6667, 0.1699)
Pa (0.6667, 0.3333, 0.8301)
O (0.0000, 0.5000, 0.0000)
O (0.1748, 0.3496, 0.3243)
O (0.1748, 0.8252, 0.3243)
O (0.3496, 0.1748, 0.6757)
O (0.5000, 0.0000, 0.0000)
O (0.5000, 0.5000, 0.0000)
O (0.6504, 0.8252, 0.3243)
O (0.8252, 0.1748, 0.6757)
O (0.8252, 0.6504, 0.6757)

Uncorrected formation energy = -2.9431 eV per atom
Energy = -7.6566 eV/atom
Symmetry = P-3m1 (164)

---

no.,size of the total moment (Bohr magnetons per cell)
1,0.40
2,0.93
3,0.00
4,0.00
5,0.00
6,0.00
7,0.00
8,0.80